# 1
{"formula": "NpTlPd", "functional": "GGA-PBE", "state": "relaxed", "lattice": [[0.000, 3.853, 6.195], [2.823, 0.000, 6.195], [2.823, 3.853, 0.000]], "species": ["Np", "Np", "Tl", "Tl", "Pd", "Pd"], "frac_coords": [[0.169, 0.831, 0.169], [0.831, 0.169, 0.831], [0.250, 0.250, 0.250], [0.750, 0.750, 0.750], [0.391, 0.391, 0.609], [0.609, 0.609, 0.391]], "formation_energy_ev_per_atom": 0.0629}



# 2
{"formula": "Zr4FeNi", "functional": "GGA-PBE", "state": "relaxed", "lattice": [[0.000, 3.952, 3.952], [3.952, 0.000, 3.952], [3.952, 3.952, 0.000]], "species": ["Zr", "Zr", "Zr", "Zr", "Fe", "Ni"], "frac_coords": [[0.125, 0.125, 0.125], [0.125, 0.125, 0.625], [0.125, 0.625, 0.125], [0.625, 0.125, 0.125], [0.750, 0.750, 0.750], [0.500, 0.500, 0.500]], "formation_energy_ev_per_atom": 0.7234, "relative_energy_mev_per_atom": 937}